(1)
VASP calculation (PBE-GGA) on a relaxed structure of Cs3Zr2P5S18.

Results
DFT total energy, eV per atom: -5.129
Total magnetization, Bohr magnetons per cell: 0.0
Crystal system: monoclinic

Cell lengths 9.5001, 10.1407, 34.3434 Å; angles 90.00, 94.61, 90.00 degrees
Last column: nearest neighbours and their distance in Å.
Space group Cc (No. 9)
Unique sites:
Cs 0.0000 0.0939 0.0000 (multiplicity 4)  9 S 3.61-3.98, 1 P 3.92
Cs 0.0083 0.3906 0.2050 (multiplicity 4)  7 S 3.56-3.98
Cs 0.4200 0.1385 0.8916 (multiplicity 4)  8 S 3.55-3.97, 1 P 3.91
Zr 0.0580 0.0875 0.7915 (multiplicity 4)  7 S 2.61-2.74
Zr 0.4523 0.2925 0.1002 (multiplicity 4)  7 S 2.61-2.76
P 0.0251 0.2462 0.8752 (multiplicity 4)  4 S 1.97-2.19
P 0.0325 0.1482 0.6954 (multiplicity 4)  4 S 2.05-2.06
P 0.0910 0.2796 0.5165 (multiplicity 4)  4 S 1.98-2.17
P 0.1601 0.4673 0.0814 (multiplicity 4)  4 S 2.03-2.14
P 0.2373 0.1873 0.3107 (multiplicity 4)  4 S 2.03-2.14
S 0.0231 0.1760 0.3062 (multiplicity 4)  1 P 2.03
S 0.0292 0.0472 0.8663 (multiplicity 4)  1 P 2.04
S 0.1008 0.3193 0.9258 (multiplicity 4)  1 P 1.97
S 0.1117 0.3158 0.8265 (multiplicity 4)  1 P 2.05
S 0.1305 0.4903 0.5201 (multiplicity 4)  2 P 2.14-2.17
S 0.1443 0.2534 0.7388 (multiplicity 4)  1 P 2.06
S 0.1510 0.1102 0.6494 (multiplicity 4)  1 P 2.05
S 0.1594 0.2279 0.4659 (multiplicity 4)  1 P 1.98
S 0.1636 0.2680 0.0866 (multiplicity 4)  1 P 2.03
S 0.1871 0.1879 0.5646 (multiplicity 4)  1 P 2.05
S 0.2917 0.3490 0.2800 (multiplicity 4)  1 P 2.04
S 0.3013 0.2014 0.3716 (multiplicity 4)  2 P 2.14-2.19
S 0.3125 0.0115 0.2914 (multiplicity 4)  1 P 2.05
S 0.3561 0.4665 0.6013 (multiplicity 4)  1 P 2.05
S 0.3615 0.2501 0.1706 (multiplicity 4)  1 P 2.05
S 0.3824 0.2460 0.0256 (multiplicity 4)  1 P 2.05
S 0.4769 0.4799 0.7237 (multiplicity 4)  1 P 2.05
S 0.4977 0.0384 0.1108 (multiplicity 4)  1 P 2.04

---

(2)
VASP calculation (PBE-GGA) on a relaxed structure of TbSbN2O.

Results
DFT total energy, eV per atom: -7.056
Total magnetization, Bohr magnetons per cell: 0.0
Crystal system: orthorhombic

Cell lengths 3.6176, 6.3738, 5.8992 Å; angles 90.00, 90.00, 90.00 degrees
Last column: nearest neighbours and their distance in Å.
Space group Pmc2_1 (No. 26)
Unique sites:
Tb 0.0000 0.1536 0.0000 (multiplicity 2)  4 N 2.32-2.45, 2 O 2.43
Sb 0.5000 0.3261 0.5378 (multiplicity 2)  4 N 1.98-2.14, 1 O 2.10
N 0.0000 0.1982 0.6011 (multiplicity 2)  2 Sb 2.02
N 0.5000 0.3931 0.8926 (multiplicity 2)  2 Sb 1.98-2.14
O 0.5000 0.1068 0.2714 (multiplicity 2)  1 Sb 2.10

---

(3)
VASP calculation (PBE-GGA) on a relaxed structure of PmTc2O4.

Results
DFT total energy, eV per atom: -7.941
Total magnetization, Bohr magnetons per cell: 24.0
Crystal system: cubic

Cell lengths 9.0577, 9.0577, 9.0577 Å; angles 90.00, 90.00, 90.00 degrees
Last column: nearest neighbours and their distance in Å.
Space group Fd-3m (No. 227, origin choice 2)
Unique sites:
Pm 0.1250 0.1250 0.1250 (multiplicity 8)  4 O 2.22
Tc 0.0000 0.0000 0.5000 (multiplicity 16)  6 O 2.13
O 0.0162 0.0162 0.7338 (multiplicity 32)  3 Tc 2.13, 1 Pm 2.22

---

(4)
VASP calculation (PBE-GGA) on a relaxed structure of SnBiAu2.

Results
DFT total energy, eV per atom: -3.759
Crystal system: hexagonal

Cell lengths 4.4977, 4.4977, 5.6778 Å; angles 90.00, 90.00, 120.00 degrees
Last column: nearest neighbours and their distance in Å.
Space group P-6m2 (No. 187)
Unique sites:
Sn 0.0000 0.0000 0.0000 (multiplicity 1)  6 Au 2.95
Bi 0.3333 0.6667 0.5000 (multiplicity 1)  6 Au 2.97
Au 0.6667 0.3333 0.2447 (multiplicity 2)  2 Au 2.78-2.90, 3 Sn 2.95, 3 Bi 2.97